VASP calculation (PBEsol) on crystalline As2CSCl at its relaxed geometry.

N(E_F) ... 4.3 states/eV per cell
Final energy ... -16.64 eV per cell
ΔE_f (raw) ... 1.921 eV/atom

Cell: 4.773 4.773 4.568 Å, 90.00 90.00 90.00°
Space group P4/mmm (No. 123)
Inequivalent atoms, fractional coordinates:
As (0.000, 0.500, 0.000) (multiplicity 2)
C (0.000, 0.000, 0.500) (multiplicity 1)
S (0.500, 0.500, 0.000) (multiplicity 1)
Cl (0.500, 0.500, 0.500) (multiplicity 1)

***

VASP calculation (PBEsol) on crystalline AsCSCl2 at its relaxed geometry.

N(E_F) ... 3.7 states/eV per cell
Final energy ... -15.88 eV per cell
ΔE_f (raw) ... 1.453 eV/atom

Cell: 4.755 4.755 4.937 Å, 90.00 90.00 90.00°
Space group P4/mmm (No. 123)
Inequivalent atoms, fractional coordinates:
As (0.000, 0.000, 0.000) (multiplicity 1)
C (0.500, 0.500, 0.500) (multiplicity 1)
S (0.000, 0.000, 0.500) (multiplicity 1)
Cl (0.000, 0.500, 0.000) (multiplicity 2)

***

VASP calculation (PBEsol) on crystalline CsCo2AsC at its relaxed geometry.

Formation energy ... 1547 meV/atom
N(E_F) ... 8.4 states/eV per cell
Final energy ... -23.43 eV per cell

Cell: 4.584 4.584 4.224 Å, 90.00 90.00 90.00°
Space group P4/mmm (No. 123)
Inequivalent atoms, fractional coordinates:
Cs (0.000, 0.000, 0.000) (multiplicity 1)
Co (0.000, 0.500, 0.500) (multiplicity 2)
As (0.500, 0.500, 0.500) (multiplicity 1)
C (0.500, 0.500, 0.000) (multiplicity 1)

***

VASP calculation (PBEsol) on crystalline Na3CoAsCO7 at its relaxed geometry.

N(E_F) ... 7.4 states/eV per cell
Final energy ... -165.31 eV per cell
ΔE_f (raw) ... -1.479 eV/atom

Cell: 5.171 6.676 9.102 Å, 90.00 90.78 90.00°
Space group P2_1/m (No. 11)
Inequivalent atoms, fractional coordinates:
Na (0.235, 0.250, 0.082) (multiplicity 2)
Na (0.253, 0.502, 0.740) (multiplicity 4)
Co (0.216, 0.750, 0.338) (multiplicity 2)
As (0.300, 0.250, 0.418) (multiplicity 2)
C (0.274, 0.750, 0.057) (multiplicity 2)
O (0.050, 0.750, 0.119) (multiplicity 2)
O (0.145, 0.250, 0.583) (multiplicity 2)
O (0.227, 0.048, 0.305) (multiplicity 4)
O (0.292, 0.750, 0.916) (multiplicity 2)
O (0.371, 0.750, 0.549) (multiplicity 2)
O (0.479, 0.750, 0.141) (multiplicity 2)